(1)
Computed, not measured: an optimized crystal structure of LaTl2Bi at the GGA-PBE level of DFT.

Energy of formation = -0.4726 eV per atom
Crystal system = tetragonal
SG = P4/mmm (123)

Cell lengths 5.0652, 4.8953, 4.8953 Å; angles 90.00, 90.00, 90.00 degrees
Sites, in units of the cell vectors:
1 La 0.5000 0.5000 0.5000
2 Tl 0.0000 0.0000 0.5000
3 Tl 0.0000 0.5000 0.0000
4 Bi 0.5000 0.0000 0.0000

=====

(2)
Computed, not measured: an optimized crystal structure of RbCo4S8 at the GGA-PBE level of DFT.

E_form (uncorrected) = -0.434 eV per atom
Crystal system = trigonal
SG = R-3m (166)

Cell lengths 6.5282, 6.5282, 9.0239 Å; angles 68.79, 68.79, 60.00 degrees
Sites, in units of the cell vectors:
1 Co 0.0000 0.5000 0.0000
2 Rb 0.5000 0.5000 0.5000
3 S 0.7171 0.2162 0.8505
4 S 0.2829 0.7838 0.1495
5 S 0.2832 0.2832 0.1505
6 S 0.7838 0.2829 0.1495
7 S 0.7838 0.7838 0.1495
8 S 0.2162 0.2162 0.8505
9 S 0.2162 0.7171 0.8505
10 Co 0.5000 0.0000 0.0000
11 S 0.7168 0.7168 0.8495
12 Co 0.0000 0.0000 0.0000
13 Co 0.5000 0.5000 0.0000

=====

(3)
Computed, not measured: an optimized crystal structure of Cs3LiCl3 at the GGA-PBE level of DFT.

E_form (uncorrected) = -1.585 eV per atom
Crystal system = monoclinic
SG = C2/m (12)

Cell lengths 10.0457, 10.0457, 9.2435 Å; angles 100.60, 100.60, 127.53 degrees
Sites, in units of the cell vectors:
1 Cl 0.3283 0.1141 0.3757
2 Cs 0.7618 0.2382 0.5000
3 Cs 0.1774 0.8226 0.0000
4 Cl 0.6717 0.8859 0.6243
5 Cs 0.8226 0.1774 0.0000
6 Li 0.8895 0.8895 0.7904
7 Cs 0.2382 0.7618 0.5000
8 Cl 0.1141 0.3283 0.3757
9 Cs 0.4118 0.4118 0.7211
10 Cl 0.1827 0.1827 0.9713
11 Cl 0.8173 0.8173 0.0287
12 Cs 0.5882 0.5882 0.2789
13 Cl 0.8859 0.6717 0.6243
14 Li 0.1105 0.1105 0.2096

=====

(4)
Computed, not measured: an optimized crystal structure of RbBa2Ni at the GGA-PBE level of DFT.

Energy of formation = 0.4911 eV per atom
E above lowest polymorph = 0.413 eV per atom
Crystal system = cubic
SG = Fm-3m (225)

Cell lengths 6.1144, 6.1144, 6.1144 Å; angles 60.00, 60.00, 60.00 degrees
Sites, in units of the cell vectors:
1 Ba 0.7500 0.7500 0.7500
2 Ni 0.0000 0.0000 0.0000
3 Rb 0.5000 0.5000 0.5000
4 Ba 0.2500 0.2500 0.2500

=====

(5)
Computed, not measured: an optimized crystal structure of Sn5As2Pd12 at the GGA-PBE level of DFT.

Energy of formation = -0.3552 eV per atom
Crystal system = monoclinic
SG = C2/m (12)

Cell lengths 7.4770, 8.2486, 7.0545 Å; angles 108.50, 90.00, 116.95 degrees
Sites, in units of the cell vectors:
1 Sn 0.2748 0.5496 0.1507
2 Pd 0.0767 0.1535 0.1994
3 Pd 0.5336 0.0672 0.7657
4 Pd 0.8171 0.2299 0.5042
5 Pd 0.1252 0.6400 0.8755
6 Pd 0.9233 0.8465 0.8006
7 As 0.7265 0.0000 0.0000
8 Pd 0.1829 0.7701 0.4958
9 As 0.2735 0.0000 0.0000
10 Sn 0.7252 0.4504 0.8493
11 Pd 0.5148 0.6400 0.8755
12 Pd 0.8748 0.3600 0.1245
13 Sn 0.0000 0.0000 0.5000
14 Pd 0.4664 0.9328 0.2343
15 Pd 0.5872 0.7701 0.4958
16 Sn 0.2335 0.4669 0.5469
17 Pd 0.4128 0.2299 0.5042
18 Pd 0.4852 0.3600 0.1245
19 Sn 0.7665 0.5331 0.4531

=====

(6)
Computed, not measured: an optimized crystal structure of PrPu2Tl9 at the GGA-PBE level of DFT.

Energy of formation = -0.1302 eV per atom
Crystal system = tetragonal
SG = P4/mmm (123)

Cell lengths 4.8052, 4.8052, 14.4452 Å; angles 90.00, 90.00, 90.00 degrees
Sites, in units of the cell vectors:
1 Pu 0.0000 0.0000 0.6660
2 Tl 0.5000 0.5000 0.6647
3 Tl 0.5000 0.5000 0.0000
4 Tl 0.5000 0.0000 0.5000
5 Pu 0.0000 0.0000 0.3340
6 Tl 0.0000 0.5000 0.8300
7 Tl 0.0000 0.5000 0.1700
8 Tl 0.0000 0.5000 0.5000
9 Tl 0.5000 0.5000 0.3353
10 Tl 0.5000 0.0000 0.1700
11 Tl 0.5000 0.0000 0.8300
12 Pr 0.0000 0.0000 0.0000

=====

(7)
Computed, not measured: an optimized crystal structure of Sm4TeIrS2 at the GGA-PBE level of DFT.

E_form (uncorrected) = -1.459 eV per atom
Crystal system = monoclinic
SG = P2/m (10)

Cell lengths 4.0952, 7.2557, 7.3565 Å; angles 71.28, 90.00, 90.00 degrees
Sites, in units of the cell vectors:
1 Sm 0.5000 0.2320 0.7781
2 Te 0.0000 0.5000 0.5000
3 S 0.0000 0.0000 0.0000
4 S 0.5000 0.0000 0.5000
5 Ir 0.5000 0.5000 0.0000
6 Sm 0.0000 0.2544 0.2263
7 Sm 0.5000 0.7680 0.2219
8 Sm 0.0000 0.7456 0.7737

=====

(8)
Computed, not measured: an optimized crystal structure of YHo2Tm3 at the GGA-PBE level of DFT.

Energy of formation = -0.0004 eV per atom
E above lowest polymorph = 0.000 eV per atom
Crystal system = monoclinic
SG = C2/m (12)

Cell lengths 3.5960, 11.1187, 11.0032 Å; angles 120.34, 99.40, 90.00 degrees
Sites, in units of the cell vectors:
1 Ho 0.0558 0.1833 0.1116
2 Ho 0.2770 0.6523 0.5541
3 Ho 0.7230 0.3477 0.4459
4 Tm 0.9448 0.3219 0.8896
5 Y 0.6113 0.9856 0.2225
6 Tm 0.7212 0.8466 0.4425
7 Tm 0.0552 0.6781 0.1104
8 Ho 0.9442 0.8167 0.8884
9 Tm 0.6108 0.4869 0.2217
10 Tm 0.2788 0.1534 0.5575
11 Y 0.3887 0.0144 0.7775
12 Tm 0.3892 0.5131 0.7783

=====

(9)
Computed, not measured: an optimized crystal structure of VFePtRh at the GGA-PBE level of DFT.

Energy of formation = -0.1223 eV per atom
E above lowest polymorph = 0.286 eV per atom
Crystal system = cubic
SG = F-43m (216)

Cell lengths 4.2971, 4.2971, 4.2971 Å; angles 60.00, 60.00, 60.00 degrees
Sites, in units of the cell vectors:
1 Pt 0.5000 0.5000 0.5000
2 Fe 0.7500 0.7500 0.7500
3 Rh 0.2500 0.2500 0.2500
4 V 0.0000 0.0000 0.0000

=====

(10)
Computed, not measured: an optimized crystal structure of KPmGe2I8 at the GGA-PBE level of DFT.

E_form (uncorrected) = -0.815 eV per atom
Crystal system = triclinic
SG = P-1 (2)

Cell lengths 7.7616, 7.2812, 9.6271 Å; angles 86.30, 85.69, 86.34 degrees
Sites, in units of the cell vectors:
1 Pm 0.0000 0.0000 0.0000
2 I 0.8386 0.2592 0.2258
3 I 0.3287 0.2386 0.9759
4 I 0.1614 0.7408 0.7742
5 I 0.1708 0.7443 0.2280
6 I 0.8292 0.2557 0.7720
7 I 0.3658 0.2749 0.5282
8 I 0.6342 0.7251 0.4718
9 I 0.6713 0.7614 0.0241
10 K 0.0000 0.0000 0.5000
11 Ge 0.5314 0.5393 0.2582
12 Ge 0.4686 0.4607 0.7418

=====

(11)
Computed, not measured: an optimized crystal structure of CdOsAu2 at the GGA-PBE level of DFT.

Energy of formation = 0.3441 eV per atom
Crystal system = trigonal
SG = R-3m (166)

Cell lengths 9.8100, 9.8100, 9.8100 Å; angles 16.88, 16.88, 16.88 degrees
Sites, in units of the cell vectors:
1 Os 0.7500 0.7500 0.7500
2 Au 0.0035 0.0035 0.0035
3 Au 0.4965 0.4965 0.4965
4 Cd 0.2500 0.2500 0.2500

=====

(12)
Computed, not measured: an optimized crystal structure of MgBiSb2 at the GGA-PBE level of DFT.

E_form (uncorrected) = -0.035 eV per atom
E above lowest polymorph = 0.009 eV per atom
Crystal system = trigonal
SG = R3m (160)

Cell lengths 4.4677, 4.4677, 7.5489 Å; angles 72.79, 72.79, 60.00 degrees
Sites, in units of the cell vectors:
1 Bi 0.6667 0.6667 0.9998
2 Mg 0.4972 0.4972 0.5084
3 Sb 0.0921 0.0921 0.7236
4 Sb 0.2439 0.2439 0.2682

=====

no.,VASP energy (eV/atom)
1,-3.858
2,-5.235
3,-3.015
4,-2.157
5,-5.178
6,-4.692
7,-6.351
8,-4.839
9,-7.866
10,-3.105
11,-4.331
12,-3.465